Computed, not measured: a geometry-optimized Y3CuTe structure at the PBE level of DFT.

Values from the calculation:
- Final energy: -5.918 eV/atom
- Total magnetization: 0.00 μB/f.u.
- ΔE_f (raw): -0.592 eV/atom
- ΔE to the lowest computed polymorph: 0.00 kcal/mol of atoms

a b c (Å): 11.737 3.997 11.514
angles (deg): 90.00 90.00 90.00
Fractional positions:
Y 0.037 0.250 0.155
Y 0.116 0.750 0.558
Y 0.230 0.250 0.786
Y 0.270 0.750 0.286
Y 0.384 0.250 0.058
Y 0.463 0.750 0.655
Y 0.537 0.250 0.345
Y 0.616 0.750 0.942
Y 0.730 0.250 0.714
Y 0.770 0.750 0.214
Y 0.884 0.250 0.442
Y 0.963 0.750 0.845
Cu 0.016 0.750 0.327
Cu 0.484 0.250 0.827
Cu 0.516 0.750 0.173
Cu 0.984 0.250 0.673
Te 0.182 0.750 0.003
Te 0.318 0.250 0.503
Te 0.682 0.750 0.497
Te 0.818 0.250 0.997